Record 1
DFT (PBE-GGA) results for a geometry-optimized LuThZnCd structure.

Lattice parameters (Å, degrees): 5.222 5.222 5.222 60.00 60.00 60.00
Positions (direct):
1 Th 0.500 0.500 0.500
2 Lu 0.000 0.000 0.000
3 Cd 0.750 0.750 0.750
4 Zn 0.250 0.250 0.250

Calculated values
The density of states at the Fermi level comes out at 4.78 states/eV/f.u. The calculation puts the final energy at -14.8 eV for the cell shown. The calculated formation energy comes out at -173 meV per atom.

Record 2
DFT (PBE-GGA) results for a geometry-optimized SrErCu4 structure.

Lattice parameters (Å, degrees): 5.360 5.360 5.360 60.00 60.00 60.00
Positions (direct):
1 Sr 0.000 0.000 0.000
2 Cu 0.624 0.129 0.624
3 Cu 0.129 0.624 0.624
4 Cu 0.624 0.624 0.129
5 Cu 0.624 0.624 0.624
6 Er 0.250 0.250 0.250

Calculated values
The density of states at the Fermi level comes out at 7.53 states/eV/f.u. The calculation puts the final energy at -22.6 eV for the cell shown. The calculated formation energy comes out at -2 meV per atom.

Record 3
DFT (PBE-GGA) results for a geometry-optimized Dy2AsIr structure.

Lattice parameters (Å, degrees): 4.077 4.077 7.071 73.24 73.24 60.00
Positions (direct):
1 Ir 0.500 0.500 0.500
2 Dy 0.247 0.247 0.258
3 Dy 0.753 0.753 0.742
4 As 0.000 0.000 0.000

Calculated values
The density of states at the Fermi level comes out at 0.41 states/eV/f.u. The calculation puts the final energy at -26.5 eV for the cell shown. The calculated formation energy comes out at -936 meV per atom.

Record 4
DFT (PBE-GGA) results for a geometry-optimized CoAs2Os structure.

Lattice parameters (Å, degrees): 2.905 2.905 7.780 90.00 90.00 90.00
Site moments in Bohr magnetons follow the coordinates.
Positions (direct):
1 As 0.000 0.000 0.928  -0.01
2 As 0.500 0.500 0.335  -0.03
3 Os 0.500 0.500 0.730  0.09
4 Co 0.000 0.000 0.507  0.60

Calculated values
The density of states at the Fermi level comes out at 3.40 states/eV/f.u. The calculation puts the final energy at -27.2 eV for the cell shown. The offset from the most stable computed form is 22.5 meV/atom. The calculated formation energy comes out at 112 meV per atom.

Record 5
DFT (PBE-GGA) results for a geometry-optimized HoThI2 structure.

Lattice parameters (Å, degrees): 3.817 3.817 11.201 80.19 80.19 60.00
Positions (direct):
1 I 0.094 0.094 0.717
2 I 0.906 0.906 0.283
3 Ho 0.000 0.000 0.000
4 Th 0.500 0.500 0.500

Calculated values
The uncorrected formation energy is -2.17 eV/f.u. The density of states at the Fermi level comes out at 4.83 states/eV/f.u. The calculation puts the final energy at -17.3 eV for the cell shown.

Record 6
DFT (PBE-GGA) results for a geometry-optimized IrBr structure.

Lattice parameters (Å, degrees): 7.806 7.806 3.397 90.00 90.00 152.95
Positions (direct):
1 Br 0.365 0.635 0.250
2 Br 0.635 0.365 0.750
3 Ir 0.942 0.058 0.750
4 Ir 0.058 0.942 0.250

Calculated values
The uncorrected formation energy is 1.78 eV/f.u. The density of states at the Fermi level comes out at 1.32 states/eV/f.u. The calculation puts the final energy at -17.5 eV for the cell shown. The offset from the most stable computed form is 621.6 meV/atom.

Record 7
DFT (PBE-GGA) results for a geometry-optimized TlCrNiSe3 structure.

Lattice parameters (Å, degrees): 3.660 8.171 9.959 116.12 90.00 90.00
Site moments in Bohr magnetons follow the coordinates.
Positions (direct):
1 Tl 0.250 0.275 0.283  -0.01
2 Tl 0.750 0.725 0.717  -0.01
3 Se 0.750 0.459 0.119  -0.14
4 Se 0.750 0.238 0.563  -0.12
5 Se 0.250 0.762 0.437  -0.12
6 Se 0.250 0.541 0.881  -0.14
7 Se 0.250 0.098 0.844  -0.13
8 Se 0.750 0.902 0.156  -0.13
9 Cr 0.750 0.304 0.832  2.49
10 Cr 0.250 0.696 0.168  2.49
11 Ni 0.250 0.084 0.605  -0.50
12 Ni 0.750 0.916 0.395  -0.50

Calculated values
The uncorrected formation energy is -2.49 eV/f.u. The density of states at the Fermi level comes out at 4.12 states/eV/f.u. The calculation puts the final energy at -61.4 eV for the cell shown.

Record 8
DFT (PBE-GGA) results for a geometry-optimized Li2TbSb structure.

Lattice parameters (Å, degrees): 4.828 4.381 4.381 90.00 90.00 90.00
Positions (direct):
1 Sb 0.500 0.000 0.000
2 Li 0.000 0.000 0.500
3 Li 0.000 0.500 0.000
4 Tb 0.500 0.500 0.500

Calculated values
The uncorrected formation energy is -2.19 eV/f.u. The density of states at the Fermi level comes out at 0.98 states/eV/f.u. The calculation puts the final energy at -14.8 eV for the cell shown.